# 1
A geometry-optimized MgMoSeBr2 structure. Source: Alexandria, functional PBE. Values from VASP.

Results
ΔE_f (raw)   -0.08 eV per formula unit
N(E_F)   3.22 states/eV/f.u.
Density   4.3 Mg/m³

Cell and atoms, written as Quantum ESPRESSO input:
```
&SYSTEM
  ibrav = 0, nat = 5, ntyp = 4
/
ATOMIC_SPECIES
Mg 24.30 Mg.upf
Mo 95.94 Mo.upf
Se 78.96 Se.upf
Br 79.90 Br.upf
CELL_PARAMETERS angstrom
5.276 0.000 0.000
0.000 5.276 0.000
0.000 0.000 4.935
ATOMIC_POSITIONS angstrom
Mg 2.638 2.638 2.468
Mo 0.000 0.000 0.000
Se 0.000 0.000 2.468
Br 0.000 2.638 0.000
Br 2.638 0.000 0.000
```

=====

# 2
A geometry-optimized MgMoSe2Br structure. Source: Alexandria, functional PBE. Values from VASP.

Results
ΔE_f (raw)   -0.08 eV per formula unit
N(E_F)   4.90 states/eV/f.u.
Density   4.6 Mg/m³

Cell and atoms, written as Quantum ESPRESSO input:
```
&SYSTEM
  ibrav = 0, nat = 5, ntyp = 4
/
ATOMIC_SPECIES
Mg 24.30 Mg.upf
Mo 95.94 Mo.upf
Se 78.96 Se.upf
Br 79.90 Br.upf
CELL_PARAMETERS angstrom
4.895 0.000 0.000
0.000 4.895 0.000
0.000 0.000 5.401
ATOMIC_POSITIONS angstrom
Mg 2.447 2.447 2.701
Mo 0.000 0.000 0.000
Se 0.000 2.447 0.000
Se 2.447 0.000 0.000
Br 0.000 0.000 2.701
```

=====

# 3
A geometry-optimized MgSiMoBr2 structure. Source: Alexandria, functional PBE. Values from VASP.

Results
ΔE_f (raw)   4.27 eV per formula unit
N(E_F)   5.51 states/eV/f.u.
Density   3.6 Mg/m³

Cell and atoms, written as Quantum ESPRESSO input:
```
&SYSTEM
  ibrav = 0, nat = 5, ntyp = 4
/
ATOMIC_SPECIES
Mg 24.30 Mg.upf
Mo 95.94 Mo.upf
Si 28.09 Si.upf
Br 79.90 Br.upf
CELL_PARAMETERS angstrom
-0.650 4.267 -2.295
-4.901 0.994 3.237
2.702 2.241 3.402
ATOMIC_POSITIONS angstrom
Mg 0.000 0.000 0.000
Mo -1.425 3.751 2.172
Si -2.450 0.497 1.618
Br 1.351 1.121 1.701
Br -0.325 2.133 -1.148
```